A crystal of Ti3BiSb relaxed with PBEsol, computed with SCAN.

Structure (POSCAR):
```
Ti3BiSb
1.0
-1.321 0.938 4.862
4.708 -1.321 1.534
1.534 4.862 -0.521
Sb Ti Bi
1 3 1
Direct
0.500 0.500 0.500
0.500 0.000 0.000
0.000 0.000 0.500
0.000 0.500 0.000
0.000 0.000 0.000
```

Values from the calculation:
- Space group: Pm-3m
- Formation energy without anion corrections: 3.90 eV/f.u.